[1]
Here is crystalline Ba2TbSmSe4 at its relaxed geometry from Alexandria via LeMat-Bulk. Energies are from PBE.

Cell: 7.4896 4.3343 7.8144 Å, 90.00 108.72 90.00°
Atoms (fractional coordinates):
Ba1 0.0000 0.0000 0.0000
Ba2 0.5000 0.5000 0.0000
Tb1 0.0000 0.5000 0.5000
Sm1 0.5000 0.0000 0.5000
Se1 0.2350 0.0000 0.7148
Se2 0.2573 0.5000 0.2832
Se3 0.7427 0.5000 0.7168
Se4 0.7650 0.0000 0.2852

- E_tot (eV/atom) = -5.2870
- M_tot (μB per formula unit) = 0.000
- space-group type = P2/m, No. 10

[2]
Here is crystalline NaC2 at its relaxed geometry from Alexandria via LeMat-Bulk. Energies are from PBE.

Cell: 4.1291 4.1291 4.1291 Å, 120.53 107.92 100.62°
Atoms (fractional coordinates):
Na1 0.0000 0.0000 0.0000
C1 0.3697 0.5000 0.8697
C2 0.6303 0.5000 0.1303

- M_tot (μB per formula unit) = 1.005
- formation energy (eV per atom) = 1.385
- space-group type = Immm, No. 71
- energy above the lowest structure with this stoichiometry (meV/atom) = 250

[3]
Here is crystalline K2ZrSe at its relaxed geometry from Alexandria via LeMat-Bulk. Energies are from PBE.

Cell: 8.8504 8.8504 8.8504 Å, 94.98 94.98 145.74°
Atoms (fractional coordinates):
K1 0.3750 0.2336 0.3586
K2 0.7664 0.1250 0.1414
K3 0.8750 0.0164 0.6414
K4 0.9836 0.6250 0.8586
Zr1 0.2500 0.7500 0.5000
Zr2 0.5000 0.5000 0.0000
Se1 0.0000 0.0000 0.0000
Se2 0.7500 0.2500 0.5000

- E_tot (eV/atom) = -3.5885
- M_tot (μB per formula unit) = 2.095
- space-group type = I-42d, No. 122

N(E_F), record by record: 3.8, 0.4, 5.0 states/eV/f.u.